Record 1
Pr8NiTe4Se3 (PBE-GGA, optimized geometry); uncorrected energy = -5.651 eV/atom; space group = R-3m (166); magnetic moment = 0.00 μB/f.u.
1.0
8.7207 0.0000 0.0000
0.0000 8.8725 0.1016
-4.3603 -4.3564 6.1696
Pr Te Se Ni
8 4 3 1
direct
0.7680 0.2805 0.5361
0.7417 0.7250 0.4833
0.7682 0.2807 0.0124
0.7559 0.7193 0.9876
0.2441 0.2807 0.0124
0.2320 0.7195 0.4639
0.2583 0.2750 0.5167
0.2318 0.7193 0.9876
0.5000 0.0000 0.5000
0.0000 0.0000 0.5000
0.5000 0.0000 0.0000
0.0000 0.0000 0.0000
0.5000 0.5000 0.5000
0.0000 0.5000 0.5000
0.5000 0.5000 0.0000
0.0000 0.5000 0.0000

---

Record 2
PrUNiSe4 (PBE-GGA, optimized geometry); uncorrected energy = -6.263 eV/atom; space group = P2_1/m (11); magnetic moment = 2.19 μB/f.u.
1.0
6.8990 0.0000 0.1425
0.0000 5.9330 0.0000
-2.5144 0.0000 7.7955
U Pr Se Ni
2 2 8 2
direct
0.7385 0.7500 0.4402
0.2615 0.2500 0.5598
0.2568 0.2500 0.0670
0.7432 0.7500 0.9330
0.5782 0.2500 0.3941
0.9833 0.0080 0.2572
0.0167 0.5080 0.7428
0.0167 0.9920 0.7428
0.4286 0.7500 0.1169
0.5714 0.2500 0.8831
0.9833 0.4920 0.2572
0.4218 0.7500 0.6059
0.2461 0.7500 0.3198
0.7539 0.2500 0.6802

---

Record 3
Pr2Si3Ni5 (PBE-GGA, optimized geometry); uncorrected energy = -6.109 eV/atom; space group = Ibam (72); magnetic moment = 0.00 μB/f.u.
1.0
-0.1222 -1.9132 5.3839
-2.8708 -7.5363 0.2900
6.1521 -5.0358 1.3834
Pr Si Ni
4 6 10
direct
0.1293 0.6262 0.1152
0.3707 0.8848 0.3738
0.8707 0.3738 0.8848
0.6293 0.1152 0.6262
0.2500 0.0000 0.0000
0.1160 0.2525 0.5154
0.8840 0.7475 0.4846
0.6160 0.5154 0.2525
0.3840 0.4846 0.7475
0.7500 0.0000 0.0000
0.9801 0.2699 0.2699
0.0199 0.7301 0.7301
0.7500 0.5000 0.5000
0.8774 0.0047 0.2405
0.3774 0.2405 0.0047
0.5199 0.7301 0.7301
0.1226 0.9953 0.7595
0.2500 0.5000 0.5000
0.4801 0.2699 0.2699
0.6226 0.7595 0.9953

---

Record 4
Pr2SiNi (PBE-GGA, optimized geometry); uncorrected energy = -4.843 eV/atom; space group = R-3m (166); magnetic moment = 0.00 μB/f.u.
1.0
3.6209 0.0000 0.0000
1.8105 3.1358 0.0000
1.8105 1.0453 9.4266
Pr Si Ni
2 1 1
direct
0.0921 0.0921 0.7236
0.9079 0.9079 0.2764
0.5000 0.5000 0.5000
0.0000 0.0000 0.0000

---

Record 5
Pr2SiNi (PBE-GGA, optimized geometry); uncorrected energy = -5.711 eV/atom; space group = P2_1/m (11); magnetic moment = 0.00 μB/f.u.
1.0
4.2398 0.0000 0.0000
0.0000 4.8755 -2.3793
0.0000 -0.0247 9.1842
Pr Ni Si
4 2 2
direct
0.2500 0.8147 0.0871
0.2500 0.7881 0.5640
0.7500 0.1853 0.9129
0.7500 0.2119 0.4360
0.7500 0.6066 0.7861
0.2500 0.3934 0.2139
0.2500 0.4151 0.7302
0.7500 0.5849 0.2698

---

Record 6
Pr3SiNi3 (PBE-GGA, optimized geometry); uncorrected energy = -5.749 eV/atom; space group = C2/m (12); magnetic moment = 0.00 μB/f.u.
1.0
-0.9344 0.6178 3.8466
-0.5694 -5.1218 2.7707
12.7845 -0.0662 5.2025
Pr Ni Si
6 6 2
direct
0.2592 0.2545 0.2272
0.4778 0.6594 0.3851
0.7408 0.7455 0.7728
0.6012 0.7199 0.0777
0.3988 0.2801 0.9223
0.5222 0.3406 0.6149
0.9012 0.1219 0.0756
0.0491 0.1392 0.7625
0.9509 0.8608 0.2375
0.8067 0.8526 0.5340
0.1933 0.1474 0.4660
0.0988 0.8781 0.9244
0.2410 0.9062 0.6118
0.7590 0.0938 0.3882

---

Record 7
Pr3SiNi2 (PBE-GGA, optimized geometry); uncorrected energy = -5.611 eV/atom; space group = Pnma (62); magnetic moment = 0.00 μB/f.u.
1.0
3.9724 0.0000 0.0000
0.0000 12.0137 0.0000
0.0000 0.0000 11.9994
Si Pr Ni
4 12 8
direct
0.7500 0.8684 0.8720
0.2500 0.1316 0.1280
0.7500 0.6316 0.3720
0.2500 0.3684 0.6280
0.2500 0.6846 0.1861
0.2500 0.1223 0.5762
0.7500 0.5638 0.6166
0.7500 0.8777 0.4238
0.7500 0.6223 0.9238
0.7500 0.1846 0.3139
0.2500 0.4362 0.3834
0.2500 0.0638 0.8834
0.2500 0.3777 0.0762
0.2500 0.8154 0.6861
0.7500 0.9362 0.1166
0.7500 0.3154 0.8139
0.2500 0.6841 0.4563
0.2500 0.0140 0.2983
0.7500 0.9860 0.7017
0.7500 0.3159 0.5437
0.7500 0.1841 0.0437
0.2500 0.4860 0.7983
0.2500 0.8159 0.9563
0.7500 0.5140 0.2017

---

Record 8
PrSi2Ni6 (PBE-GGA, optimized geometry); uncorrected energy = -5.976 eV/atom; space group = P4/mmm (123); magnetic moment = 0.90 μB/f.u.
1.0
4.0447 0.0000 0.0000
0.0000 4.0447 0.0000
0.0000 0.0000 7.5783
Ni Pr Si
6 1 2
direct
0.0000 0.5000 0.3143
0.0000 0.0000 0.5000
0.0000 0.5000 0.6857
0.5000 0.5000 0.5000
0.5000 0.0000 0.6857
0.5000 0.0000 0.3143
0.0000 0.0000 0.0000
0.5000 0.5000 0.8291
0.5000 0.5000 0.1709

---

Record 9
PrSi2Ni3 (PBE-GGA, optimized geometry); uncorrected energy = -6.162 eV/atom; space group = C2/m (12); magnetic moment = 0.00 μB/f.u.
1.0
-1.4038 -0.1301 3.5824
-5.9232 -1.7802 -4.4543
4.2008 -5.5144 1.4459
Si Ni Pr
4 6 2
direct
0.5205 0.0410 0.1861
0.8181 0.6361 0.3493
0.1819 0.3639 0.6507
0.4795 0.9590 0.8139
0.9640 0.9280 0.6340
0.3172 0.6344 0.5601
0.0360 0.0720 0.3660
0.4111 0.8222 0.3416
0.5889 0.1778 0.6584
0.6828 0.3656 0.4399
0.8449 0.6898 0.9298
0.1551 0.3102 0.0702

---

Record 10
PrSi2Ni9 (PBE-GGA, optimized geometry); uncorrected energy = -6.097 eV/atom; space group = I4_1/amd (141); magnetic moment = 0.00 μB/f.u.
1.0
-1.3651 7.4510 0.8890
-1.1514 -5.9659 4.6101
7.6260 0.1037 -0.0641
Ni Si Pr
18 4 2
direct
0.9384 0.6101 0.9210
0.5610 0.7327 0.4210
0.9827 0.0616 0.6717
0.6890 0.0173 0.0790
0.0000 0.0000 0.0000
0.6890 0.6101 0.6717
0.2500 0.7500 0.5000
0.3899 0.3110 0.3283
0.8601 0.6884 0.4210
0.9384 0.0173 0.3283
0.3899 0.0616 0.0790
0.5610 0.1399 0.8283
0.3116 0.1399 0.5790
0.2673 0.6884 0.8283
0.3116 0.7327 0.1717
0.9827 0.3110 0.9210
0.2673 0.4390 0.5790
0.8601 0.4390 0.1717
0.1250 0.3750 0.2500
0.6250 0.8750 0.7500
0.1250 0.8750 0.7500
0.1250 0.8750 0.2500
0.5000 0.5000 0.0000
0.7500 0.2500 0.5000

---

Record 11
PrSi2Ni8 (PBE-GGA, optimized geometry); uncorrected energy = -5.575 eV/atom; space group = P4/mmm (123); magnetic moment = 0.00 μB/f.u.
1.0
-3.6401 -0.5549 -3.1694
-3.1497 -0.3637 3.6811
-1.0345 7.5700 -0.1372
Si Ni Pr
2 8 1
direct
0.5000 0.0000 0.0000
0.0000 0.5000 0.0000
0.7541 0.7541 0.8039
0.7541 0.2459 0.1961
0.2459 0.7541 0.8039
0.2459 0.2459 0.8039
0.2459 0.2459 0.1961
0.7541 0.2459 0.8039
0.7541 0.7541 0.1961
0.2459 0.7541 0.1961
0.5000 0.5000 0.5000

---

Record 12
PrSi2Ni4 (PBE-GGA, optimized geometry); uncorrected energy = -6.102 eV/atom; space group = P4_2/mnm (136); magnetic moment = 0.00 μB/f.u.
1.0
-0.4100 -2.7212 2.4248
6.7198 1.3604 2.6631
-2.8752 4.7402 4.8334
Pr Ni Si
2 8 4
direct
0.5000 0.0000 0.0000
0.0000 0.5000 0.5000
0.5000 0.1579 0.5853
0.0000 0.6579 0.9147
0.0000 0.0853 0.3421
0.0000 0.9147 0.6579
0.5000 0.4147 0.8421
0.5000 0.8421 0.4147
0.5000 0.5853 0.1579
0.0000 0.3421 0.0853
0.5000 0.7233 0.7233
0.5000 0.2767 0.2767
0.0000 0.7767 0.2233
0.0000 0.2233 0.7767